Entry from the Alexandria database: a relaxed ReOs2Rh crystal (PBE-GGA).

a = 4.743 Å, b = 4.743 Å, c = 4.737 Å
α = 80.52°, β = 80.52°, γ = 33.43°
Fractional coordinates of all 4 atoms:
Rh  0.751  0.751  0.747
Re  0.503  0.503  0.498
Os  0.251  0.251  0.245
Os  0.996  0.996  0.010

- Volume: 57.8 Å³/cell
- Energy of formation from the pure elements: 0.05 eV per atom